# 1
Compound: Na2C2O5
Source: Alexandria via LeMat-Bulk
Functional: PBE-GGA
Structure: relaxed

The calculation puts the density at 2005 kg/m³. As for the relative energy among the computed polymorphs: 60.6 meV per atom. The value obtained for the total moment is 0.00 Bohr magnetons per cell. Its energy is -6.53 eV/atom. The density of states at the Fermi level comes out at 0.00 states/eV/f.u.

The space group is C2/m (No. 12) and the conventional cell measures 7.415, 5.668 and 6.563 Å, with angles of 90.00, 115.76 and 90.00 degrees. The distinct sites, in fractional coordinates, are Na at (0.118, 0.000, 0.301), C at (0.205, 0.500, 0.111), O at (0.000, 0.500, 0.000), O at (0.201, 0.000, 0.008) and O at (0.221, 0.000, 0.675).

# 2
Compound: CaPm5
Source: Alexandria via LeMat-Bulk
Functional: PBE-GGA
Structure: relaxed

The calculation puts the density at 5971 kg/m³. As for the relative energy among the computed polymorphs: 0.0 meV per atom. The calculation puts the formation energy at 0.03 eV per atom. The value obtained for the total moment is 0.00 Bohr magnetons per cell. Its energy is -4.26 eV/atom. The density of states at the Fermi level comes out at 8.24 states/eV/f.u.

The space group is P4/mmm (No. 123) and the conventional cell measures 3.676, 3.676 and 15.750 Å, with angles of 90.00, 90.00 and 90.00 degrees. The distinct sites, in fractional coordinates, are Ca at (0.000, 0.000, 0.000), Pm at (0.000, 0.000, 0.335), Pm at (0.500, 0.500, 0.178) and Pm at (0.500, 0.500, 0.500).

# 3
Compound: Cs6H2BrCl3
Source: Alexandria via LeMat-Bulk
Functional: PBE-GGA
Structure: relaxed

The calculation puts the density at 3212 kg/m³. The value obtained for the total moment is 0.21 Bohr magnetons per cell. Its energy is -2.91 eV/atom. The density of states at the Fermi level comes out at 0.00 states/eV/f.u.

The space group is C2/m (No. 12) and the conventional cell measures 21.457, 4.933 and 9.895 Å, with angles of 90.00, 103.35 and 90.00 degrees. The distinct sites, in fractional coordinates, are Cs at (0.006, 0.000, 0.263), Cs at (0.171, 0.500, 0.098), Cs at (0.171, 0.500, 0.574), H at (0.171, 0.000, 0.340), Br at (0.000, 0.500, 0.000), Cl at (0.000, 0.500, 0.500) and Cl at (0.164, 0.000, 0.830).

# 4
Compound: Pr2AlZnPd6
Source: Alexandria via LeMat-Bulk
Functional: PBE-GGA
Structure: relaxed

The calculation puts the density at 7933 kg/m³. The calculation puts the formation energy at -0.60 eV per atom. The value obtained for the total moment is 0.00 Bohr magnetons per cell. Its energy is -5.17 eV/atom. The density of states at the Fermi level comes out at 2.05 states/eV/f.u.

The space group is C2/m (No. 12) and the conventional cell measures 9.962, 5.754 and 8.109 Å, with angles of 90.00, 114.21 and 90.00 degrees. The distinct sites, in fractional coordinates, are Pr at (0.214, 0.000, 0.139), Al at (0.000, 0.000, 0.500), Zn at (0.000, 0.500, 0.000), Pd at (0.005, 0.252, 0.260) and Pd at (0.248, 0.000, 0.741).

# 5
Compound: La2TmPt
Source: Alexandria via LeMat-Bulk
Functional: PBE-GGA
Structure: relaxed

The calculation puts the density at 9149 kg/m³. As for the relative energy among the computed polymorphs: 0.0 meV per atom. The calculation puts the formation energy at -0.49 eV per atom. The value obtained for the total moment is 0.00 Bohr magnetons per cell. Its energy is -5.58 eV/atom. The density of states at the Fermi level comes out at 5.32 states/eV/f.u.

The space group is P4/mmm (No. 123) and the conventional cell measures 3.795, 3.795 and 8.088 Å, with angles of 90.00, 90.00 and 90.00 degrees. The distinct sites, in fractional coordinates, are La at (0.000, 0.000, 0.207), Tm at (0.500, 0.500, 0.500) and Pt at (0.500, 0.500, 0.000).

# 6
Compound: ZnHg5
Source: Alexandria via LeMat-Bulk
Functional: PBE-GGA
Structure: relaxed

The calculation puts the density at 11313 kg/m³. The calculation puts the formation energy at 0.05 eV per atom. The value obtained for the total moment is 0.00 Bohr magnetons per cell. Its energy is -0.41 eV/atom. The density of states at the Fermi level comes out at 1.22 states/eV/f.u.

The space group is Cm (No. 8) and the conventional cell measures 11.861, 3.540 and 7.569 Å, with angles of 90.00, 99.28 and 90.00 degrees. The distinct sites, in fractional coordinates, are Zn at (0.000, 0.000, 0.000), Hg at (0.029, 0.500, 0.704), Hg at (0.166, 0.500, 0.186), Hg at (0.227, 0.000, 0.541), Hg at (0.305, 0.000, 0.944) and Hg at (0.434, 0.500, 0.356).